# 1
An optimized crystal structure of TbSe6Cl12, computed with PBE.

Computed properties:
Space-group type: No. 148
DOS at the Fermi energy: 10.2 states/eV/cell
E_form (uncorrected): -0.548 eV/atom
Total magnetization: 0.00 μB/cell
Volume: 35.466 Å³/atom

Lattice parameters (Å, degrees): 12.960 12.960 12.960 36.03 36.03 36.03
Atoms (fractional coordinates):
1 Tb 0.000 0.000 0.000
2 Se 0.112 0.187 0.458
3 Se 0.187 0.458 0.112
4 Se 0.458 0.112 0.187
5 Se 0.542 0.888 0.813
6 Se 0.813 0.542 0.888
7 Se 0.888 0.813 0.542
8 Cl 0.110 0.274 0.743
9 Cl 0.121 0.774 0.502
10 Cl 0.226 0.498 0.879
11 Cl 0.257 0.890 0.726
12 Cl 0.274 0.743 0.110
13 Cl 0.498 0.879 0.226
14 Cl 0.502 0.121 0.774
15 Cl 0.726 0.257 0.890
16 Cl 0.743 0.110 0.274
17 Cl 0.774 0.502 0.121
18 Cl 0.879 0.226 0.498
19 Cl 0.890 0.726 0.257



# 2
An optimized crystal structure of V2HIrPt, computed with PBE.

Computed properties:
Space-group type: No. 123
DOS at the Fermi energy: 2.4 states/eV/cell
Total magnetization: 0.00 μB/cell
E_tot: -7.67 eV per atom
Volume: 11.648 Å³/atom

Lattice parameters (Å, degrees): 3.878 3.878 3.873 90.00 90.00 90.00
Atoms (fractional coordinates):
1 V 0.000 0.500 0.000
2 V 0.500 0.000 0.000
3 H 0.000 0.000 0.000
4 Ir 0.500 0.500 0.500
5 Pt 0.000 0.000 0.500



# 3
An optimized crystal structure of LiTb3Mg4, computed with PBE.

Computed properties:
Space-group type: No. 123
DOS at the Fermi energy: 8.5 states/eV/cell
Total magnetization: 0.00 μB/cell
Energy relative to the elements: -50 kJ/mol of formula units
Volume: 26.064 Å³/atom

Lattice parameters (Å, degrees): 3.717 3.717 15.094 90.00 90.00 90.00
Atoms (fractional coordinates):
1 Li 0.000 0.000 0.000
2 Tb 0.000 0.000 0.247
3 Tb 0.000 0.000 0.500
4 Tb 0.000 0.000 0.753
5 Mg 0.500 0.500 0.109
6 Mg 0.500 0.500 0.373
7 Mg 0.500 0.500 0.627
8 Mg 0.500 0.500 0.891



# 4
An optimized crystal structure of AgIrCl2, computed with PBE.

Computed properties:
Space-group type: No. 160
E_form (uncorrected): 0.084 eV/atom
Total magnetization: 0.00 μB/cell
Volume: 20.603 Å³/atom

Lattice parameters (Å, degrees): 7.810 7.810 7.810 26.30 26.30 26.30
Atoms (fractional coordinates):
1 Ag 0.000 0.000 0.000
2 Ir 0.255 0.255 0.255
3 Cl 0.538 0.538 0.538
4 Cl 0.738 0.738 0.738



- volume of number 2 (V2HIrPt)?
  11.648 Å³/atom